Entry A
Here is a geometry-optimized LaAlP2S structure from the Alexandria database. Energies are from PBE.

```
data_LaAlP2S
_cell_length_a 4.626
_cell_length_b 4.626
_cell_length_c 4.894
_cell_angle_alpha 90.00
_cell_angle_beta 90.00
_cell_angle_gamma 90.00
_space_group_name_H-M_alt 'P 4/m m m'
_space_group_IT_number 123
_space_group_name_Hall '-P 4 2'
loop_
_atom_site_label
_atom_site_type_symbol
_atom_site_fract_x
_atom_site_fract_y
_atom_site_fract_z
La1 La 0.000 0.000 0.000
Al1 Al 0.500 0.500 0.500
P1 P 0.000 0.500 0.500
S1 S 0.500 0.500 0.000
```

The density of states at the Fermi level is 0.92 states/eV per atom. The crystal system is tetragonal.

Entry B
Here is a geometry-optimized LaAlP2S structure from the Alexandria database. Energies are from PBE.

```
data_LaAlP2S
_cell_length_a 5.628
_cell_length_b 5.628
_cell_length_c 5.475
_cell_angle_alpha 90.00
_cell_angle_beta 90.00
_cell_angle_gamma 90.00
_space_group_name_H-M_alt 'P 4/m m m'
_space_group_IT_number 123
_space_group_name_Hall '-P 4 2'
loop_
_atom_site_label
_atom_site_type_symbol
_atom_site_fract_x
_atom_site_fract_y
_atom_site_fract_z
La1 La 0.000 0.000 0.000
Al1 Al 0.500 0.500 0.500
P1 P 0.000 0.500 0.000
S1 S 0.000 0.000 0.500
```

The density of states at the Fermi level is 1.13 states/eV per atom. The crystal system is tetragonal.

The structure with the least stability is entry B.

Entry A
Here is a geometry-optimized LaSc2AlP structure from the Alexandria database. Energies are from PBE.

```
data_LaSc2AlP
_cell_length_a 4.994
_cell_length_b 4.994
_cell_length_c 4.893
_cell_angle_alpha 90.00
_cell_angle_beta 90.00
_cell_angle_gamma 90.00
_space_group_name_H-M_alt 'P 4/m m m'
_space_group_IT_number 123
_space_group_name_Hall '-P 4 2'
loop_
_atom_site_label
_atom_site_type_symbol
_atom_site_fract_x
_atom_site_fract_y
_atom_site_fract_z
La1 La 0.000 0.000 0.000
Sc1 Sc 0.000 0.500 0.500
Al1 Al 0.500 0.500 0.000
P1 P 0.500 0.500 0.500
```

The density of states at the Fermi level is 1.20 states/eV per atom. The crystal system is tetragonal.

Entry B
Here is a geometry-optimized LaSc2AlP structure from the Alexandria database. Energies are from PBE.

```
data_LaSc2AlP
_cell_length_a 4.949
_cell_length_b 4.949
_cell_length_c 5.499
_cell_angle_alpha 90.00
_cell_angle_beta 90.00
_cell_angle_gamma 90.00
_space_group_name_H-M_alt 'P 4/m m m'
_space_group_IT_number 123
_space_group_name_Hall '-P 4 2'
loop_
_atom_site_label
_atom_site_type_symbol
_atom_site_fract_x
_atom_site_fract_y
_atom_site_fract_z
La1 La 0.000 0.000 0.000
Sc1 Sc 0.000 0.500 0.500
Al1 Al 0.500 0.500 0.000
P1 P 0.000 0.000 0.500
```

The density of states at the Fermi level is 0.59 states/eV per atom. The crystal system is tetragonal.

The structure with the least stability is entry A.

Entry A
Here is a geometry-optimized La2ZrAlP structure from the Alexandria database. Energies are from PBE.

```
data_La2ZrAlP
_cell_length_a 5.804
_cell_length_b 5.804
_cell_length_c 4.502
_cell_angle_alpha 90.00
_cell_angle_beta 90.00
_cell_angle_gamma 90.00
_space_group_name_H-M_alt 'P 4/m m m'
_space_group_IT_number 123
_space_group_name_Hall '-P 4 2'
loop_
_atom_site_label
_atom_site_type_symbol
_atom_site_fract_x
_atom_site_fract_y
_atom_site_fract_z
La1 La 0.000 0.500 0.000
Zr1 Zr 0.000 0.000 0.500
Al1 Al 0.500 0.500 0.000
P1 P 0.500 0.500 0.500
```

The density of states at the Fermi level is 1.37 states/eV per atom. The crystal system is tetragonal.

Entry B
Here is a geometry-optimized La2ZrAlP structure from the Alexandria database. Energies are from PBE.

```
data_La2ZrAlP
_cell_length_a 5.610
_cell_length_b 5.610
_cell_length_c 5.058
_cell_angle_alpha 90.00
_cell_angle_beta 90.00
_cell_angle_gamma 90.00
_space_group_name_H-M_alt 'P 4/m m m'
_space_group_IT_number 123
_space_group_name_Hall '-P 4 2'
loop_
_atom_site_label
_atom_site_type_symbol
_atom_site_fract_x
_atom_site_fract_y
_atom_site_fract_z
La1 La 0.000 0.500 0.000
Zr1 Zr 0.000 0.000 0.500
Al1 Al 0.000 0.000 0.000
P1 P 0.500 0.500 0.500
```

The density of states at the Fermi level is 1.08 states/eV per atom. The crystal system is tetragonal.

The structure with the least stability is entry A.

Entry A
Here is a geometry-optimized La2PaAl structure from the Alexandria database. Energies are from PBE.

```
data_La2PaAl
_cell_length_a 7.679
_cell_length_b 7.679
_cell_length_c 7.679
_cell_angle_alpha 90.00
_cell_angle_beta 90.00
_cell_angle_gamma 90.00
_space_group_name_H-M_alt 'F m -3 m'
_space_group_IT_number 225
_space_group_name_Hall '-F 4 2 3'
loop_
_atom_site_label
_atom_site_type_symbol
_atom_site_fract_x
_atom_site_fract_y
_atom_site_fract_z
La1 La 0.250 0.250 0.250
Pa1 Pa 0.000 0.000 0.000
Al1 Al 0.000 0.000 0.500
```

The density of states at the Fermi level is 1.78 states/eV per atom. The crystal system is cubic.

Entry B
Here is a geometry-optimized La2PaAl structure from the Alexandria database. Energies are from PBE.

```
data_La2PaAl
_cell_length_a 3.487
_cell_length_b 3.487
_cell_length_c 9.223
_cell_angle_alpha 90.00
_cell_angle_beta 90.00
_cell_angle_gamma 90.00
_space_group_name_H-M_alt 'P 4/m m m'
_space_group_IT_number 123
_space_group_name_Hall '-P 4 2'
loop_
_atom_site_label
_atom_site_type_symbol
_atom_site_fract_x
_atom_site_fract_y
_atom_site_fract_z
La1 La 0.000 0.000 0.235
Pa1 Pa 0.500 0.500 0.500
Al1 Al 0.500 0.500 0.000
```

The density of states at the Fermi level is 1.31 states/eV per atom. The crystal system is tetragonal.

The structure with the least stability is entry A.

Entry A
Here is a geometry-optimized La4AlPb structure from the Alexandria database. Energies are from PBE.

```
data_La4AlPb
_cell_length_a 9.160
_cell_length_b 9.160
_cell_length_c 9.160
_cell_angle_alpha 90.00
_cell_angle_beta 90.00
_cell_angle_gamma 90.00
_space_group_name_H-M_alt 'F -4 3 m'
_space_group_IT_number 216
_space_group_name_Hall 'F -4 2 3'
loop_
_atom_site_label
_atom_site_type_symbol
_atom_site_fract_x
_atom_site_fract_y
_atom_site_fract_z
La1 La 0.125 0.125 0.125
Al1 Al 0.000 0.000 0.500
Pb1 Pb 0.250 0.250 0.750
```

The density of states at the Fermi level is 1.16 states/eV per atom. The crystal system is cubic.

Entry B
Here is a geometry-optimized La4AlPb structure from the Alexandria database. Energies are from PBE.

```
data_La4AlPb
_cell_length_a 5.426
_cell_length_b 5.426
_cell_length_c 7.396
_cell_angle_alpha 90.00
_cell_angle_beta 90.00
_cell_angle_gamma 90.00
_space_group_name_H-M_alt 'P 4/m m m'
_space_group_IT_number 123
_space_group_name_Hall '-P 4 2'
loop_
_atom_site_label
_atom_site_type_symbol
_atom_site_fract_x
_atom_site_fract_y
_atom_site_fract_z
La1 La 0.000 0.500 0.226
Al1 Al 0.000 0.000 0.000
Pb1 Pb 0.500 0.500 0.500
```

The density of states at the Fermi level is 1.12 states/eV per atom. The crystal system is tetragonal.

The structure with the least stability is entry A.

Entry A
Here is a geometry-optimized LaAl2Pb2 structure from the Alexandria database. Energies are from PBE.

```
data_LaAl2Pb2
_cell_length_a 4.892
_cell_length_b 4.892
_cell_length_c 11.501
_cell_angle_alpha 90.00
_cell_angle_beta 90.00
_cell_angle_gamma 90.00
_space_group_name_H-M_alt 'I 4/m m m'
_space_group_IT_number 139
_space_group_name_Hall '-I 4 2'
loop_
_atom_site_label
_atom_site_type_symbol
_atom_site_fract_x
_atom_site_fract_y
_atom_site_fract_z
La1 La 0.000 0.000 0.000
Al1 Al 0.000 0.000 0.392
Pb1 Pb 0.000 0.500 0.250
```

The density of states at the Fermi level is 0.77 states/eV per atom. The crystal system is tetragonal.

Entry B
Here is a geometry-optimized LaAl2Pb2 structure from the Alexandria database. Energies are from PBE.

```
data_LaAl2Pb2
_cell_length_a 8.524
_cell_length_b 8.524
_cell_length_c 3.703
_cell_angle_alpha 90.00
_cell_angle_beta 90.00
_cell_angle_gamma 90.00
_space_group_name_H-M_alt 'P 4/m b m'
_space_group_IT_number 127
_space_group_name_Hall '-P 4 2ab'
loop_
_atom_site_label
_atom_site_type_symbol
_atom_site_fract_x
_atom_site_fract_y
_atom_site_fract_z
La1 La 0.000 0.000 0.000
Al1 Al 0.157 0.343 0.500
Pb1 Pb 0.137 0.637 0.000
```

The density of states at the Fermi level is 0.62 states/eV per atom. The crystal system is tetragonal.

The structure with the least stability is entry B.